Here is a relaxed SrCr3C crystal from Alexandria. Energies are from PBE.

```
SrCr3C
1.0
-0.1246 1.9602 -3.9864
-4.3702 -0.7698 -0.2419
-0.7972 3.9134 1.9492
Sr C Cr
1 1 3
Direct
0.0000 0.0000 0.0000 Sr
0.5000 0.5000 0.5000 C
0.0000 0.5000 0.0000 Cr
0.0000 0.0000 0.5000 Cr
0.5000 0.0000 0.0000 Cr
```

Computed properties:
calculated formation energy = 4.124 eV per atom
space group = Pm-3m (221)
E_tot = -3.832 eV/atom
distance to the lowest polymorph of the same formula = 3359.2 meV/atom

Here is a relaxed Sr2CrC crystal from Alexandria. Energies are from PBE.

```
Sr2CrC
1.0
10.8097 0.0000 0.0000
0.0000 10.8097 0.0000
5.4049 5.4049 1.9733
Sr C Cr
4 2 2
Direct
0.4374 0.1250 0.2500 Sr
0.3126 0.6250 0.2500 Sr
0.3750 0.5626 0.7500 Sr
0.8750 0.6874 0.7500 Sr
0.5000 0.5000 0.0000 C
0.2500 0.7500 0.5000 C
0.0000 0.0000 0.0000 Cr
0.7500 0.2500 0.5000 Cr
```

Computed properties:
calculated formation energy = 0.363 eV per atom
space group = I-42d (122)
E_tot = -5.189 eV/atom

Here is a relaxed SrTaCrC2 crystal from Alexandria. Energies are from PBE.

```
SrTaCrC2
1.0
-3.4167 2.5507 -0.6827
-1.3557 -0.6629 4.3078
2.3081 3.4274 1.2538
Sr C Cr Ta
1 2 1 1
Direct
0.0000 0.0000 0.0000 Sr
0.0000 0.0000 0.5000 C
0.5000 0.0000 0.0000 C
0.0000 0.5000 0.0000 Cr
0.5000 0.5000 0.5000 Ta
```

Computed properties:
calculated formation energy = 3.502 eV per atom
space group = P4/mmm (123)
E_tot = -4.819 eV/atom

Here is a relaxed Sr2TiCrC crystal from Alexandria. Energies are from PBE.

```
Sr2TiCrC
1.0
-4.5842 0.4179 3.1660
-2.3583 -0.9909 -3.2839
0.4240 -5.4101 1.3281
Sr C Ti Cr
2 1 1 1
Direct
0.0000 0.0000 0.5000 Sr
0.5000 0.0000 0.0000 Sr
0.0000 0.0000 0.0000 C
0.0000 0.5000 0.0000 Ti
0.5000 0.5000 0.5000 Cr
```

Computed properties:
calculated formation energy = 0.572 eV per atom
space group = P4/mmm (123)
E_tot = -5.450 eV/atom

Here is a relaxed SrTlCr2C crystal from Alexandria. Energies are from PBE.

```
SrTlCr2C
1.0
5.9304 0.0000 0.0000
0.0000 4.5630 0.0000
0.0000 0.0000 5.9304
Sr Tl C Cr
1 1 1 2
Direct
0.0000 0.0000 0.0000 Sr
0.5000 0.5000 0.5000 Tl
0.0000 0.5000 0.0000 C
0.0000 0.0000 0.5000 Cr
0.5000 0.0000 0.0000 Cr
```

Computed properties:
calculated formation energy = 2.214 eV per atom
space group = P4/mmm (123)
E_tot = -4.289 eV/atom

Here is a relaxed SrYCr2C crystal from Alexandria. Energies are from PBE.

```
SrYCr2C
1.0
4.1250 0.0000 0.0000
0.0000 5.0019 0.0000
0.0000 0.0000 4.1250
Y Sr C Cr
1 1 1 2
Direct
0.0000 0.5000 0.0000 Y
0.5000 0.5000 0.5000 Sr
0.0000 0.0000 0.0000 C
0.0000 0.0000 0.5000 Cr
0.5000 0.0000 0.0000 Cr
```

Computed properties:
calculated formation energy = 0.692 eV per atom
space group = P4/mmm (123)
E_tot = -6.631 eV/atom